Ta2TeAs, optimized geometry, DFT PBE; volume = 87 Å³/cell; E_form (uncorrected) = -0.061 eV/atom; density of states at the Fermi level = 1.61 states/eV/cell; space group = Cmm2
1.0
3.055 0.008 0.000
-0.970 2.897 0.000
0.000 0.000 9.858
Ta Te As
2 1 1
direct
0.500 0.500 0.229
0.000 0.000 0.007
0.000 0.000 0.453
0.500 0.500 0.811